DFT (GGA-PBE) results for an optimized crystal structure of Sn3SeS.

Computed properties:
space group = C2/c
ΔE to the lowest computed polymorph = 0 meV per atom
E_form (uncorrected) = -0.137 eV per atom

Cell and atoms, written as CIF:
```
data_Sn3SeS
_chemical_formula_sum 'Sn12 Se4 S4'
_cell_length_a 9.454
_cell_length_b 9.454
_cell_length_c 8.615
_cell_angle_alpha 102.21
_cell_angle_beta 102.21
_cell_angle_gamma 118.50
_space_group_name_H-M_alt 'P 1'
_space_group_IT_number 1
loop_
_space_group_symop_operation_xyz
'x,y,z'
loop_
_atom_site_label
_atom_site_fract_x
_atom_site_fract_y
_atom_site_fract_z
Sn1 0.035 0.566 0.349
Sn2 0.081 0.915 0.928
Sn3 0.085 0.919 0.572
Sn4 0.320 0.387 0.501
Sn5 0.387 0.320 0.001
Sn6 0.434 0.965 0.151
Sn7 0.566 0.035 0.849
Sn8 0.613 0.680 0.999
Sn9 0.680 0.613 0.499
Sn10 0.915 0.081 0.428
Sn11 0.919 0.085 0.072
Sn12 0.965 0.434 0.651
Se1 0.142 0.858 0.250
Se2 0.344 0.656 0.750
Se3 0.656 0.344 0.250
Se4 0.858 0.142 0.750
S1 0.181 0.416 0.217
S2 0.416 0.181 0.717
S3 0.584 0.819 0.283
S4 0.819 0.584 0.783
```

DFT (GGA-PBE) results for an optimized crystal structure of Ba3NaCa3.

Computed properties:
space group = Cmmm
formation energy = 3.86 kcal/mol of atoms

Cell and atoms, written as CIF:
```
data_Ba3NaCa3
_chemical_formula_sum 'Ba6 Na2 Ca6'
_cell_length_a 8.085
_cell_length_b 8.085
_cell_length_c 11.868
_cell_angle_alpha 90.00
_cell_angle_beta 90.00
_cell_angle_gamma 102.32
_space_group_name_H-M_alt 'P 1'
_space_group_IT_number 1
loop_
_space_group_symop_operation_xyz
'x,y,z'
loop_
_atom_site_label
_atom_site_fract_x
_atom_site_fract_y
_atom_site_fract_z
Ba1 0.000 0.000 0.238
Ba2 0.000 0.000 0.762
Ba3 0.000 0.500 0.242
Ba4 0.000 0.500 0.758
Ba5 0.500 0.000 0.242
Ba6 0.500 0.000 0.758
Na1 0.219 0.781 0.000
Na2 0.781 0.219 0.000
Ca1 0.211 0.789 0.500
Ca2 0.300 0.300 0.500
Ca3 0.306 0.306 0.000
Ca4 0.694 0.694 0.000
Ca5 0.700 0.700 0.500
Ca6 0.789 0.211 0.500
```

DFT (GGA-PBE) results for an optimized crystal structure of Te2PCl.

Computed properties:
space group = Cmmm
ΔE to the lowest computed polymorph = 314 meV per atom
E_form (uncorrected) = 0.219 eV per atom

Cell and atoms, written as CIF:
```
data_Te2PCl
_chemical_formula_sum 'Te2 P1 Cl1'
_cell_length_a 5.081
_cell_length_b 5.081
_cell_length_c 8.689
_cell_angle_alpha 90.00
_cell_angle_beta 90.00
_cell_angle_gamma 139.56
_space_group_name_H-M_alt 'P 1'
_space_group_IT_number 1
loop_
_space_group_symop_operation_xyz
'x,y,z'
loop_
_atom_site_label
_atom_site_fract_x
_atom_site_fract_y
_atom_site_fract_z
Te1 0.000 0.000 0.221
Te2 0.000 0.000 0.779
P1 0.500 0.500 0.000
Cl1 0.500 0.500 0.500
```